# PBE NaSrInSe3, optimized geometry
# Magnetic moment in μB per formula unit: 0.0
# Raw formation energy in meV per atom: -1152
# V in Å³/cell: 710
data_NaSrInSe3
_chemical_formula_sum 'Na4 Sr4 In4 Se12'
_cell_length_a 4.188
_cell_length_b 14.372
_cell_length_c 11.803
_cell_angle_alpha 90.00
_cell_angle_beta 90.00
_cell_angle_gamma 90.00
_space_group_name_H-M_alt 'C m c m'
_space_group_IT_number 63
_space_group_name_Hall '-C 2c 2'
loop_
_atom_site_label
_atom_site_fract_x
_atom_site_fract_y
_atom_site_fract_z
Na1 0.000 0.000 0.000
Sr1 0.000 0.237 0.250
In1 0.000 0.474 0.750
Se1 0.000 0.091 0.750
Se2 0.000 0.360 0.582

***

# PBE NaTa2InSe, optimized geometry
# Magnetic moment in μB per formula unit: 3.7
# Raw formation energy in meV per atom: 1780
# V in Å³/cell: 147
data_NaTa2InSe
_chemical_formula_sum 'Na1 Ta2 In1 Se1'
_cell_length_a 5.170
_cell_length_b 5.170
_cell_length_c 5.509
_cell_angle_alpha 90.00
_cell_angle_beta 90.00
_cell_angle_gamma 90.00
_space_group_name_H-M_alt 'P 4/m m m'
_space_group_IT_number 123
_space_group_name_Hall '-P 4 2'
loop_
_atom_site_label
_atom_site_fract_x
_atom_site_fract_y
_atom_site_fract_z
Na1 0.000 0.000 0.000
Ta1 0.000 0.500 0.500
In1 0.500 0.500 0.500
Se1 0.500 0.500 0.000